Record 1
The following is a GGA-PBE calculation of an optimized crystal structure of ErTlZnS3, from the Open Quantum Materials Database.

Lattice parameters (Å, degrees): 3.9462 14.2733 10.4703 90.00 90.00 90.00
Space group Cmcm (No. 63)
One atom of each set of equivalent atoms:
Er 0.0000 0.0000 0.0000 [4 per cell]
Tl 0.0000 0.2537 0.2500 [4 per cell]
Zn 0.0000 0.4604 0.7500 [4 per cell]
S 0.0000 0.0599 0.7500 [4 per cell]
S 0.0000 0.3761 0.5608 [8 per cell]

Properties
Energy above the lowest structure with this stoichiometry: 0 meV per atom
Crystal system: orthorhombic

***

Record 2
The following is a GGA-PBE calculation of an optimized crystal structure of ErTlZnS3, from the Open Quantum Materials Database.

Lattice parameters (Å, degrees): 9.6901 3.9651 14.8743 90.00 90.00 90.00
Space group Pnma (No. 62)
One atom of each set of equivalent atoms:
Er 0.1748 0.2500 0.0576 [4 per cell]
Tl 0.0206 0.7500 0.3214 [4 per cell]
Zn 0.1687 0.7500 0.8647 [4 per cell]
S 0.0212 0.2500 0.8975 [4 per cell]
S 0.1790 0.2500 0.4848 [4 per cell]
S 0.2204 0.7500 0.7169 [4 per cell]

Properties
Energy above the lowest structure with this stoichiometry: 68 meV per atom
Crystal system: orthorhombic

***

Record 3
The following is a GGA-PBE calculation of an optimized crystal structure of ErTlZnS3, from the Open Quantum Materials Database.

Lattice parameters (Å, degrees): 16.3623 4.0159 8.8127 90.00 103.74 90.00
Space group C2/m (No. 12)
One atom of each set of equivalent atoms:
Er 0.1691 0.0000 0.0878 [4 per cell]
Tl 0.1429 0.0000 0.5639 [4 per cell]
Zn 0.0036 0.5000 0.2188 [4 per cell]
S 0.0000 0.0000 0.0000 [2 per cell]
S 0.0000 0.5000 0.5000 [2 per cell]
S 0.1534 0.5000 0.2802 [4 per cell]
S 0.1599 0.5000 0.8712 [4 per cell]

Properties
Energy above the lowest structure with this stoichiometry: 145 meV per atom
Crystal system: monoclinic

***

Record 4
The following is a GGA-PBE calculation of an optimized crystal structure of ErTlZnS3, from the Open Quantum Materials Database.

Lattice parameters (Å, degrees): 11.2074 4.0715 11.9606 90.00 90.00 90.00
Space group Pnma (No. 62)
One atom of each set of equivalent atoms:
Er 0.0246 0.2500 0.1684 [4 per cell]
Tl 0.1618 0.2500 0.5080 [4 per cell]
Zn 0.2488 0.2500 0.7997 [4 per cell]
S 0.0441 0.7500 0.3207 [4 per cell]
S 0.1009 0.2500 0.9388 [4 per cell]
S 0.2247 0.7500 0.6971 [4 per cell]

Properties
Energy above the lowest structure with this stoichiometry: 65 meV per atom
Crystal system: orthorhombic

***

Record 5
The following is a GGA-PBE calculation of an optimized crystal structure of Er2TmS4, from the Open Quantum Materials Database.

Lattice parameters (Å, degrees): 11.2346 11.2346 11.2346 90.00 90.00 90.00
Space group Fd-3m (No. 227, origin choice 2)
One atom of each set of equivalent atoms:
Er 0.0000 0.0000 0.0000 [16 per cell]
Tm 0.1250 0.1250 0.6250 [8 per cell]
S 0.0070 0.0070 0.2430 [32 per cell]

Properties
Crystal system: cubic
Total DFT energy (no corrections): -6.2241 eV per atom

***

Record 6
The following is a GGA-PBE calculation of an optimized crystal structure of Er2TmS3, from the Open Quantum Materials Database.

Lattice parameters (Å, degrees): 3.8468 3.8468 9.4489 90.00 90.00 120.00
Space group P-3m1 (No. 164)
One atom of each set of equivalent atoms:
Er 0.3333 0.6667 0.1665 [2 per cell]
Tm 0.0000 0.0000 0.5000 [1 per cell]
S 0.0000 0.0000 0.0000 [1 per cell]
S 0.3333 0.6667 0.6649 [2 per cell]

Properties
Crystal system: trigonal
Total DFT energy (no corrections): -6.2757 eV per atom

***

no.,mass density (Mg/m³)
1,6.0
2,6.2
3,6.3
4,6.5
5,5.9
6,8.2